VASP calculation (PBE with a Hubbard U) on a relaxed structure of Co2S2F.

Results
As for the space group: P4/mbm, No. 127. As for the uncorrected energy: -21.47 eV per formula unit. The value obtained for the calculated density is 4.66 Mg/m³.

abc: 6.583 6.583 3.306
angles: 90.00 90.00 90.00
Fractional coordinates of all 10 atoms:
Co: 0.174 0.326 0.000
Co: 0.326 0.826 0.000
Co: 0.674 0.174 0.000
Co: 0.826 0.674 0.000
S: 0.143 0.643 0.500
S: 0.357 0.143 0.500
S: 0.643 0.857 0.500
S: 0.857 0.357 0.500
F: 0.000 0.000 0.000
F: 0.500 0.500 0.000